Entry 1:
A plane-wave DFT calculation with PBE was carried out for a geometry-optimized Ta3PbCl structure.

Lattice parameters (Å, degrees): 5.2303 5.2303 5.2303 90.00 90.00 90.00
Space group Pm-3m (No. 221)
Inequivalent atoms, fractional coordinates:
Ta  0.0000  0.0000  0.5000 x3
Pb  0.0000  0.0000  0.0000 x1
Cl  0.5000  0.5000  0.5000 x1

Summary:
The uncorrected formation energy is 2.614 eV/atom. Its total magnetization is 0.0 μB/cell. As for the calculated volume: 143 Å³/cell. As for the relative energy among the computed polymorphs: 1671 meV per atom.


Entry 2:
A plane-wave DFT calculation with PBE was carried out for a geometry-optimized BaEuO3 structure.

Lattice parameters (Å, degrees): 4.4379 4.4379 4.4379 90.00 90.00 90.00
Space group Pm-3m (No. 221)
Inequivalent atoms, fractional coordinates:
Ba  0.0000  0.0000  0.0000 x1
Eu  0.5000  0.5000  0.5000 x1
O  0.0000  0.5000  0.5000 x3

Summary:
The uncorrected formation energy is -2.355 eV/atom. Its total magnetization is 5.0 μB/cell. As for the calculated volume: 87 Å³/cell.


Entry 3:
A plane-wave DFT calculation with PBE was carried out for a geometry-optimized RuC3 structure.

Lattice parameters (Å, degrees): 3.9566 6.3065 2.7989 90.00 90.00 90.00
Space group Cmmm (No. 65)
Inequivalent atoms, fractional coordinates:
Ru  0.0000  0.0000  0.0000 x2
C  0.0000  0.5000  0.0000 x2
C  0.2500  0.2500  0.5000 x4

Summary:
Its total magnetization is 0.0 μB/cell. As for the calculated volume: 70 Å³/cell. The value obtained for the calculated formation energy is 2.690 eV/atom. As for the relative energy among the computed polymorphs: 1783 meV per atom.


Entry 4:
A plane-wave DFT calculation with PBE was carried out for a geometry-optimized PmHo2Hf structure.

Lattice parameters (Å, degrees): 3.4449 3.4449 33.7975 90.00 90.00 120.00
Space group R3m (No. 160, hexagonal axes)
Inequivalent atoms, fractional coordinates:
Pm  0.0000  0.0000  0.0000 x3
Ho  0.0000  0.0000  0.5769 x3
Ho  0.0000  0.0000  0.7563 x3
Hf  0.0000  0.0000  0.1663 x3

Summary:
Its total magnetization is 0.0 μB/cell. As for the calculated volume: 347 Å³/cell. The value obtained for the calculated formation energy is 0.112 eV/atom. As for the relative energy among the computed polymorphs: 0 meV per atom.


Entry 5:
A plane-wave DFT calculation with PBE was carried out for a geometry-optimized TeBrCl4 structure.

Lattice parameters (Å, degrees): 8.3227 8.3227 8.3227 90.00 90.00 90.00
Space group F-43m (No. 216)
Inequivalent atoms, fractional coordinates:
Te  0.0000  0.0000  0.0000 x4
Br  0.2500  0.2500  0.7500 x4
Cl  0.1260  0.1260  0.3740 x16

Summary:
The uncorrected formation energy is 0.711 eV/atom. Its total magnetization is 11.9 μB/cell. As for the calculated volume: 576 Å³/cell.


Entry 6:
A plane-wave DFT calculation with PBE was carried out for a geometry-optimized BeC structure.

Lattice parameters (Å, degrees): 5.9403 2.9193 5.9245 90.00 114.36 90.00
Space group Cm (No. 8)
Inequivalent atoms, fractional coordinates:
Be  0.0000  0.0000  0.0000 x2
Be  0.1245  0.5000  0.7674 x2
Be  0.2934  0.5000  0.4345 x2
C  0.2994  0.0000  0.9586 x2
C  0.3107  0.0000  0.2157 x2
C  0.4962  0.0000  0.4515 x2

Summary:
Its total magnetization is 0.0 μB/cell. As for the calculated volume: 94 Å³/cell. The value obtained for the calculated formation energy is 0.368 eV/atom. As for the relative energy among the computed polymorphs: 49 meV per atom.


Entry 7:
A plane-wave DFT calculation with PBE was carried out for a geometry-optimized Ca2PmSb structure.

Lattice parameters (Å, degrees): 4.8714 4.8714 5.1803 90.00 90.00 90.00
Space group P4/mmm (No. 123)
Inequivalent atoms, fractional coordinates:
Ca  0.0000  0.5000  0.0000 x2
Pm  0.0000  0.0000  0.5000 x1
Sb  0.5000  0.5000  0.5000 x1

Summary:
The uncorrected formation energy is -0.459 eV/atom. Its total magnetization is 0.0 μB/cell. As for the calculated volume: 123 Å³/cell.


Entry 8:
A plane-wave DFT calculation with PBE was carried out for a geometry-optimized NiHgPt2 structure.

Lattice parameters (Å, degrees): 9.1766 2.8749 4.9361 90.00 100.96 90.00
Space group Cm (No. 8)
Inequivalent atoms, fractional coordinates:
Ni  0.0000  0.0000  0.0000 x2
Hg  0.2498  0.5000  0.2667 x2
Pt  0.0084  0.5000  0.5398 x2
Pt  0.2602  0.0000  0.7827 x2

Summary:
Its total magnetization is 1.8 μB/cell. As for the calculated volume: 128 Å³/cell. The value obtained for the calculated formation energy is 0.090 eV/atom.


Entry 9:
A plane-wave DFT calculation with PBE was carried out for a geometry-optimized Pm4SmIn5 structure.

Lattice parameters (Å, degrees): 3.8506 3.8506 19.1742 90.00 90.00 90.00
Space group P4/mmm (No. 123)
Inequivalent atoms, fractional coordinates:
Pm  0.0000  0.0000  0.1002 x2
Pm  0.0000  0.0000  0.3007 x2
Sm  0.0000  0.0000  0.5000 x1
In  0.5000  0.5000  0.0000 x1
In  0.5000  0.5000  0.2004 x2
In  0.5000  0.5000  0.4011 x2

Summary:
Its total magnetization is 0.0 μB/cell. As for the calculated volume: 284 Å³/cell. The value obtained for the calculated formation energy is -0.496 eV/atom.


Entry 10:
A plane-wave DFT calculation with PBE was carried out for a geometry-optimized NdHoAlZn structure.

Lattice parameters (Å, degrees): 3.6159 3.6159 7.3910 90.00 90.00 90.00
Space group P4mm (No. 99)
Inequivalent atoms, fractional coordinates:
Nd  0.0000  0.0000  0.0000 x1
Ho  0.0000  0.0000  0.5086 x1
Al  0.5000  0.5000  0.2673 x1
Zn  0.5000  0.5000  0.7307 x1

Summary:
Its total magnetization is 0.0 μB/cell. As for the calculated volume: 97 Å³/cell. The value obtained for the calculated formation energy is -0.357 eV/atom. As for the relative energy among the computed polymorphs: 0 meV per atom.


Entry 11:
A plane-wave DFT calculation with PBE was carried out for a geometry-optimized Na3Mg2Hg3 structure.

Lattice parameters (Å, degrees): 8.3493 8.3493 3.2476 90.00 90.00 120.00
Space group P-62m (No. 189)
Inequivalent atoms, fractional coordinates:
Na  0.0000  0.7607  0.0000 x3
Mg  0.3333  0.6667  0.0000 x2
Hg  0.0000  0.3994  0.5000 x3

Summary:
Its total magnetization is 0.0 μB/cell. As for the calculated volume: 196 Å³/cell. The value obtained for the calculated formation energy is -0.185 eV/atom.


Entry 12:
A plane-wave DFT calculation with PBE was carried out for a geometry-optimized Tb12Dy7Sc structure.

Lattice parameters (Å, degrees): 11.8954 11.8954 15.9207 90.00 90.00 120.00
Space group R-3 (No. 148, hexagonal axes)
Inequivalent atoms, fractional coordinates:
Tb  0.0250  0.5725  0.2230 x18
Tb  0.0593  0.8696  0.2908 x18
Dy  0.0000  0.0000  0.5000 x3
Dy  0.0644  0.4782  0.5824 x18
Sc  0.0000  0.0000  0.0000 x3

Summary:
Its total magnetization is 0.0 μB/cell. As for the calculated volume: 1951 Å³/cell. The value obtained for the calculated formation energy is 0.237 eV/atom.


Q: What is the calculated volume in the eleventh record?
A: 196 Å³/cell